Record 1
First-principles (PBE) data for crystalline CaMnIr at its relaxed geometry, as listed in Alexandria via LeMat-Bulk.

```
CaMnIr
1.0
5.576 0.000 0.000
0.000 4.505 0.000
0.000 0.000 10.277
Ca Ir Mn
4 4 4
direct
0.878 0.250 0.374
0.622 0.750 0.874
0.122 0.750 0.626
0.378 0.250 0.126
0.381 0.250 0.451
0.119 0.750 0.951
0.619 0.750 0.549
0.881 0.250 0.049
0.124 0.250 0.840
0.376 0.750 0.340
0.876 0.750 0.160
0.624 0.250 0.660
```

Properties
Excess energy over the best structure of this formula in the dataset = 246 meV per atom
Formation enthalpy at 0 K = 0.042 eV/atom
Raw total energy = -0.24386 Ha/atom

Record 2
First-principles (PBE) data for crystalline CsNa2CdAu at its relaxed geometry, as listed in Alexandria via LeMat-Bulk.

```
CsNa2CdAu
1.0
-4.594 -3.446 -1.092
3.135 -2.918 -3.979
1.689 -3.482 3.884
Cs Na Au Cd
1 2 1 1
direct
0.500 0.500 0.500
0.000 0.500 0.000
0.500 0.000 0.000
0.000 0.000 0.000
0.000 0.000 0.500
```

Properties
Excess energy over the best structure of this formula in the dataset = 0 meV per atom
Formation enthalpy at 0 K = -0.139 eV/atom
Raw total energy = -0.06157 Ha/atom

Record 3
First-principles (PBE) data for crystalline SrScMn at its relaxed geometry, as listed in Alexandria via LeMat-Bulk.

```
SrScMn
1.0
6.964 0.023 -0.024
6.040 3.466 -0.004
0.924 0.226 3.435
Mn Sc Sr
1 1 1
direct
0.977 0.977 0.023
0.373 0.373 0.627
0.650 0.650 0.350
```

Properties
Excess energy over the best structure of this formula in the dataset = 0 meV per atom
Formation enthalpy at 0 K = 0.353 eV/atom
Raw total energy = -0.19751 Ha/atom

Record 4
First-principles (PBE) data for crystalline NbNiPCl2 at its relaxed geometry, as listed in Alexandria via LeMat-Bulk.

```
NbNiPCl2
1.0
-1.579 2.292 -3.380
3.056 -1.741 -2.608
-2.966 -3.613 -1.064
Ni Nb P Cl
1 1 1 2
direct
0.000 0.000 0.000
0.500 0.500 0.500
0.000 0.000 0.500
0.000 0.500 0.000
0.500 0.000 0.000
```

Properties
Excess energy over the best structure of this formula in the dataset = 110 meV per atom
Raw total energy = -0.16757 Ha/atom
Uncorrected formation energy = 0.43 eV/atom

Record 5
First-principles (PBE) data for crystalline LaBeAu2 at its relaxed geometry, as listed in Alexandria via LeMat-Bulk.

```
LaBeAu2
1.0
3.693 0.000 0.000
0.000 3.644 -0.001
0.000 1.737 6.304
Be Au La
1 2 1
direct
0.500 0.250 0.250
0.000 0.104 0.059
0.000 0.396 0.441
0.500 0.750 0.750
```

Properties
Formation enthalpy at 0 K = -0.339 eV/atom
Raw total energy = -0.15217 Ha/atom

Record 6
First-principles (PBE) data for crystalline Bi3Te2S2 at its relaxed geometry, as listed in Alexandria via LeMat-Bulk.

```
Bi3Te2S2
1.0
-1.908 3.958 -0.824
-5.846 -3.404 -2.816
0.017 -0.828 8.108
Bi Te S
3 2 2
direct
0.000 0.500 0.000
0.260 0.735 0.520
0.740 0.265 0.480
0.620 0.790 0.241
0.380 0.210 0.759
0.853 0.649 0.706
0.147 0.351 0.294
```

Properties
Raw total energy = -0.14461 Ha/atom
Uncorrected formation energy = -0.19 eV/atom

no.,magnetization (μB per cell)
1,16.47
2,0.00
3,3.16
4,2.07
5,0.00
6,0.00